VASP calculation (GGA-PBE) on crystalline Pm5Nd2DyY at its relaxed geometry.

Unit cell a=10.2437 b=10.2437 c=10.2437 alpha=129.78 beta=129.78 gamma=73.75
With the nearest neighbours (Å) after each atom.
Positions (direct):
Pm 0.0000 0.0000 0.0000  4 Nd 3.46, 8 Pm 3.88
Pm 0.0720 0.5720 0.9273  1 Nd 3.09, 1 Dy 3.17
Pm 0.1447 0.0720 0.5000  1 Nd 3.09, 1 Dy 3.17
Pm 0.3553 0.8553 0.9273  1 Nd 3.09, 1 Dy 3.17
Pm 0.4280 0.3553 0.5000  1 Nd 3.09, 1 Dy 3.17
Pm 0.5000 0.5000 0.0000  4 Nd 3.46, 8 Pm 3.88
Pm 0.5720 0.6447 0.5000  1 Nd 3.09, 1 Dy 3.17
Pm 0.6447 0.1447 0.0727  1 Nd 3.09, 1 Dy 3.17
Pm 0.8553 0.9280 0.5000  1 Nd 3.09, 1 Dy 3.17
Pm 0.9280 0.4280 0.0727  1 Nd 3.09, 1 Dy 3.17
Nd 0.1203 0.3797 0.5000  1 Nd 2.96, 2 Pm 3.09
Nd 0.3797 0.8797 0.2595  1 Nd 2.96, 2 Pm 3.09
Nd 0.6203 0.1203 0.7405  1 Nd 2.96, 2 Pm 3.09
Nd 0.8797 0.6203 0.5000  1 Nd 2.96, 2 Pm 3.09
Dy 0.2500 0.7500 0.5000  4 Pm 3.17
Dy 0.7500 0.2500 0.5000  4 Pm 3.17
Y 0.2500 0.2500 0.0000  8 Pm 3.58
Y 0.7500 0.7500 0.0000  8 Pm 3.58

Computed properties:
The formation energy is 269 meV per atom.